Below is crystalline K2CuAg at its relaxed geometry, with properties calculated at the PBEsol level.

Unit cell a=4.7278 b=4.7278 c=6.6968 alpha=90.00 beta=90.00 gamma=90.00
Space group P4mm (No. 99)
Symmetry-distinct sites (fractional):
K: 0.0000 0.0000 0.0000 [1 per cell]
K: 0.5000 0.5000 0.4797 [1 per cell]
Cu: 0.5000 0.5000 0.9745 [1 per cell]
Ag: 0.0000 0.0000 0.5040 [1 per cell]

V ... 37.4 Å³/atom
Energy relative to the lowest polymorph listed for this composition ... 0.237 eV per atom
ΔH_f (0 K) ... 520 meV per atom